This record from OQMD describes a relaxed structure of Zr2SiGeAs2Au2. The functional is GGA-PBE.

abc: 3.832 3.832 10.120
angles: 90.00 90.00 90.00
Element x y z (fractional)
As: 0.500 0.000 0.285
As: 0.000 0.500 0.715
Au: 0.000 0.000 0.500
Au: 0.500 0.500 0.500
Ge: 0.000 0.000 0.000
Si: 0.500 0.500 0.000
Zr: 0.000 0.500 0.213
Zr: 0.500 0.000 0.787

**Theoretical density**: 9.24 g/cm3
**VASP energy**: -5.851 eV per atom
**Total moment**: 0.01 μB per cell